Entry from Alexandria via LeMat-Bulk: a geometry-optimized SrInAu structure (PBEsol).

Lattice parameters (Å, degrees): 7.618 4.743 8.413 90.00 90.00 90.00
Fractional coordinates of all 12 atoms:
1 Sr 0.024 0.250 0.183
2 Sr 0.476 0.750 0.683
3 Sr 0.524 0.250 0.317
4 Sr 0.976 0.750 0.817
5 In 0.155 0.250 0.566
6 In 0.345 0.750 0.066
7 In 0.655 0.250 0.934
8 In 0.845 0.750 0.434
9 Au 0.218 0.750 0.383
10 Au 0.282 0.250 0.883
11 Au 0.718 0.750 0.117
12 Au 0.782 0.250 0.617

Values from the calculation:
calculated formation energy = -0.667 eV per atom